A relaxed structure of TlGaBr3, computed with PBE.

Properties
Energy relative to the elements, uncorrected in kcal/mol of atoms: -19.5
E in eV/atom: -2.93
Total magnetization in μB per atom: 0.000
Excess energy over the best structure of this formula in the dataset in meV per atom: 0
V in Å³ per cell: 738.68

a = 7.7808 Å, b = 8.8155 Å, c = 12.8572 Å
α = 90.00°, β = 123.11°, γ = 90.00°
Fractional coordinates of all 20 atoms:
Tl (0.2279, 0.1284, 0.2596)
Tl (0.2279, 0.3716, 0.7597)
Tl (0.7721, 0.6284, 0.2404)
Tl (0.7721, 0.8716, 0.7403)
Ga (0.1277, 0.5959, 0.0615)
Ga (0.1277, 0.9041, 0.5615)
Ga (0.8723, 0.0959, 0.4385)
Ga (0.8723, 0.4041, 0.9385)
Br (0.0420, 0.1829, 0.9203)
Br (0.0420, 0.3171, 0.4203)
Br (0.3038, 0.6879, 0.9665)
Br (0.3038, 0.8121, 0.4665)
Br (0.3891, 0.5109, 0.2676)
Br (0.3891, 0.9891, 0.7676)
Br (0.6109, 0.0109, 0.2324)
Br (0.6109, 0.4891, 0.7324)
Br (0.6962, 0.1879, 0.5335)
Br (0.6962, 0.3121, 0.0335)
Br (0.9580, 0.6829, 0.5797)
Br (0.9580, 0.8171, 0.0797)